--- P ---
# GGA-PBE LiSc3Rh, relaxed
# Crystal system: cubic
# Theoretical density: 3.9 g/cm3
# N(E_F): 1.60 states/eV per atom
# Magnetic moment: 2.025 μB/f.u.
data_LiSc3Rh
_space_group_name_H-M_alt 'P m -3 m'
_space_group_IT_number 221
_space_group_name_Hall '-P 4 2 3'
_cell_length_a 4.701
_cell_length_b 4.701
_cell_length_c 4.701
_cell_angle_alpha 90.00
_cell_angle_beta 90.00
_cell_angle_gamma 90.00
loop_
_atom_site_label
_atom_site_type_symbol
_atom_site_fract_x
_atom_site_fract_y
_atom_site_fract_z
Li1 Li 0.000 0.000 0.000
Sc1 Sc 0.000 0.000 0.500
Rh1 Rh 0.500 0.500 0.500



--- Q ---
# GGA-PBE LiSc3Rh, relaxed
# Crystal system: cubic
# Theoretical density: 3.1 g/cm3
# N(E_F): 0.56 states/eV per atom
# Magnetic moment: 0.000 μB/f.u.
data_LiSc3Rh
_space_group_name_H-M_alt 'P m -3 m'
_space_group_IT_number 221
_space_group_name_Hall '-P 4 2 3'
_cell_length_a 5.067
_cell_length_b 5.067
_cell_length_c 5.067
_cell_angle_alpha 90.00
_cell_angle_beta 90.00
_cell_angle_gamma 90.00
loop_
_atom_site_label
_atom_site_type_symbol
_atom_site_fract_x
_atom_site_fract_y
_atom_site_fract_z
Li1 Li 0.000 0.000 0.000
Sc1 Sc 0.000 0.500 0.500
Rh1 Rh 0.500 0.500 0.500



Q ends up most stable, edging out the next structure by 0.764 eV/atom.



--- P ---
# GGA-PBE Li2ScRhW, relaxed
# Crystal system: tetragonal
# Theoretical density: 6.4 g/cm3
# N(E_F): 0.85 states/eV per atom
# Magnetic moment: 0.001 μB/f.u.
data_Li2ScRhW
_space_group_name_H-M_alt 'P 4/m m m'
_space_group_IT_number 123
_space_group_name_Hall '-P 4 2'
_cell_length_a 4.338
_cell_length_b 4.338
_cell_length_c 4.772
_cell_angle_alpha 90.00
_cell_angle_beta 90.00
_cell_angle_gamma 90.00
loop_
_atom_site_label
_atom_site_type_symbol
_atom_site_fract_x
_atom_site_fract_y
_atom_site_fract_z
Li1 Li 0.000 0.500 0.000
Sc1 Sc 0.000 0.000 0.500
Rh1 Rh 0.000 0.000 0.000
W1 W 0.500 0.500 0.500



--- Q ---
# GGA-PBE Li2ScRhW, relaxed
# Crystal system: tetragonal
# Theoretical density: 6.9 g/cm3
# N(E_F): 1.08 states/eV per atom
# Magnetic moment: 0.000 μB/f.u.
data_Li2ScRhW
_space_group_name_H-M_alt 'P 4/m m m'
_space_group_IT_number 123
_space_group_name_Hall '-P 4 2'
_cell_length_a 4.303
_cell_length_b 4.303
_cell_length_c 4.505
_cell_angle_alpha 90.00
_cell_angle_beta 90.00
_cell_angle_gamma 90.00
loop_
_atom_site_label
_atom_site_type_symbol
_atom_site_fract_x
_atom_site_fract_y
_atom_site_fract_z
Li1 Li 0.000 0.500 0.000
Sc1 Sc 0.000 0.000 0.000
Rh1 Rh 0.000 0.000 0.500
W1 W 0.500 0.500 0.500



P ends up most stable, edging out the next structure by 0.364 eV/atom.



--- P ---
# GGA-PBE LiRh2Se2, relaxed
# Crystal system: tetragonal
# Theoretical density: 6.4 g/cm3
# N(E_F): 1.07 states/eV per atom
# Magnetic moment: 0.000 μB/f.u.
data_LiRh2Se2
_space_group_name_H-M_alt 'I 4/m m m'
_space_group_IT_number 139
_space_group_name_Hall '-I 4 2'
_cell_length_a 3.964
_cell_length_b 3.964
_cell_length_c 12.169
_cell_angle_alpha 90.00
_cell_angle_beta 90.00
_cell_angle_gamma 90.00
loop_
_atom_site_label
_atom_site_type_symbol
_atom_site_fract_x
_atom_site_fract_y
_atom_site_fract_z
Li1 Li 0.000 0.000 0.000
Rh1 Rh 0.000 0.500 0.250
Se1 Se 0.000 0.000 0.375



--- Q ---
# GGA-PBE LiRh2Se2, relaxed
# Crystal system: tetragonal
# Theoretical density: 6.6 g/cm3
# N(E_F): 0.63 states/eV per atom
# Magnetic moment: 0.000 μB/f.u.
data_LiRh2Se2
_space_group_name_H-M_alt 'I 4/m m m'
_space_group_IT_number 139
_space_group_name_Hall '-I 4 2'
_cell_length_a 4.732
_cell_length_b 4.732
_cell_length_c 8.394
_cell_angle_alpha 90.00
_cell_angle_beta 90.00
_cell_angle_gamma 90.00
loop_
_atom_site_label
_atom_site_type_symbol
_atom_site_fract_x
_atom_site_fract_y
_atom_site_fract_z
Li1 Li 0.000 0.000 0.000
Rh1 Rh 0.000 0.000 0.347
Se1 Se 0.000 0.500 0.250



P ends up most stable, edging out the next structure by 0.052 eV/atom.



--- P ---
# GGA-PBE Li2Si2Rh, relaxed
# Crystal system: tetragonal
# Theoretical density: 4.2 g/cm3
# N(E_F): 0.32 states/eV per atom
# Magnetic moment: 0.000 μB/f.u.
data_Li2Si2Rh
_space_group_name_H-M_alt 'I 4/m m m'
_space_group_IT_number 139
_space_group_name_Hall '-I 4 2'
_cell_length_a 3.307
_cell_length_b 3.307
_cell_length_c 12.533
_cell_angle_alpha 90.00
_cell_angle_beta 90.00
_cell_angle_gamma 90.00
loop_
_atom_site_label
_atom_site_type_symbol
_atom_site_fract_x
_atom_site_fract_y
_atom_site_fract_z
Li1 Li 0.000 0.500 0.250
Si1 Si 0.000 0.000 0.095
Rh1 Rh 0.000 0.000 0.500



--- Q ---
# GGA-PBE Li2Si2Rh, relaxed
# Crystal system: monoclinic
# Theoretical density: 4.5 g/cm3
# N(E_F): 0.21 states/eV per atom
# Magnetic moment: 0.000 μB/f.u.
data_Li2Si2Rh
_space_group_name_H-M_alt 'C 1 2/c 1'
_space_group_IT_number 15
_space_group_name_Hall '-C 2yc'
_cell_length_a 8.599
_cell_length_b 4.796
_cell_length_c 7.107
_cell_angle_alpha 90.00
_cell_angle_beta 119.23
_cell_angle_gamma 90.00
loop_
_atom_site_label
_atom_site_type_symbol
_atom_site_fract_x
_atom_site_fract_y
_atom_site_fract_z
Li1 Li 0.092 0.145 0.446
Si1 Si 0.204 0.362 0.151
Rh1 Rh 0.000 0.356 0.750



Q ends up most stable, edging out the next structure by 0.279 eV/atom.



--- P ---
# GGA-PBE Li2Si2Rh, relaxed
# Crystal system: monoclinic
# Theoretical density: 3.5 g/cm3
# N(E_F): 0.37 states/eV per atom
# Magnetic moment: 0.000 μB/f.u.
data_Li2Si2Rh
_space_group_name_H-M_alt 'C 1 2/m 1'
_space_group_IT_number 12
_space_group_name_Hall '-C 2y'
_cell_length_a 9.683
_cell_length_b 4.062
_cell_length_c 9.642
_cell_angle_alpha 90.00
_cell_angle_beta 119.36
_cell_angle_gamma 90.00
loop_
_atom_site_label
_atom_site_type_symbol
_atom_site_fract_x
_atom_site_fract_y
_atom_site_fract_z
Li1 Li 0.084 0.000 0.389
Li2 Li 0.168 0.500 0.183
Si1 Si 0.073 0.000 0.930
Si2 Si 0.113 0.500 0.619
Rh1 Rh 0.153 0.500 0.875



--- Q ---
# GGA-PBE Li2Si2Rh, relaxed
# Crystal system: tetragonal
# Theoretical density: 3.9 g/cm3
# N(E_F): 0.35 states/eV per atom
# Magnetic moment: 0.000 μB/f.u.
data_Li2Si2Rh
_space_group_name_H-M_alt 'P 4/m b m'
_space_group_IT_number 127
_space_group_name_Hall '-P 4 2ab'
_cell_length_a 6.164
_cell_length_b 6.164
_cell_length_c 3.878
_cell_angle_alpha 90.00
_cell_angle_beta 90.00
_cell_angle_gamma 90.00
loop_
_atom_site_label
_atom_site_type_symbol
_atom_site_fract_x
_atom_site_fract_y
_atom_site_fract_z
Li1 Li 0.171 0.329 0.000
Si1 Si 0.135 0.635 0.500
Rh1 Rh 0.000 0.000 0.500



P ends up most stable, edging out the next structure by 0.042 eV/atom.



--- P ---
# GGA-PBE SrLi2SiRh, relaxed
# Crystal system: tetragonal
# Theoretical density: 3.7 g/cm3
# N(E_F): 0.37 states/eV per atom
# Magnetic moment: 0.000 μB/f.u.
data_SrLi2SiRh
_space_group_name_H-M_alt 'P 4/m m m'
_space_group_IT_number 123
_space_group_name_Hall '-P 4 2'
_cell_length_a 4.753
_cell_length_b 4.753
_cell_length_c 4.625
_cell_angle_alpha 90.00
_cell_angle_beta 90.00
_cell_angle_gamma 90.00
loop_
_atom_site_label
_atom_site_type_symbol
_atom_site_fract_x
_atom_site_fract_y
_atom_site_fract_z
Sr1 Sr 0.000 0.000 0.000
Li1 Li 0.000 0.500 0.500
Si1 Si 0.500 0.500 0.500
Rh1 Rh 0.500 0.500 0.000



--- Q ---
# GGA-PBE SrLi2SiRh, relaxed
# Crystal system: tetragonal
# Theoretical density: 3.7 g/cm3
# N(E_F): 0.30 states/eV per atom
# Magnetic moment: 0.000 μB/f.u.
data_SrLi2SiRh
_space_group_name_H-M_alt 'P 4/m m m'
_space_group_IT_number 123
_space_group_name_Hall '-P 4 2'
_cell_length_a 4.799
_cell_length_b 4.799
_cell_length_c 4.591
_cell_angle_alpha 90.00
_cell_angle_beta 90.00
_cell_angle_gamma 90.00
loop_
_atom_site_label
_atom_site_type_symbol
_atom_site_fract_x
_atom_site_fract_y
_atom_site_fract_z
Sr1 Sr 0.000 0.000 0.000
Li1 Li 0.000 0.500 0.500
Si1 Si 0.500 0.500 0.000
Rh1 Rh 0.500 0.500 0.500



Q ends up most stable, edging out the next structure by 0.070 eV/atom.